## i
First-principles (GGA-PBE) data for a geometry-optimized Dy3Sb2S structure, as listed in Alexandria.

Output
total magnetic moment	0.00	μB per cell

Geometry as CIF:
```
data_Dy3Sb2S
_cell_length_a 8.476
_cell_length_b 11.997
_cell_length_c 25.350
_cell_angle_alpha 90.00
_cell_angle_beta 90.00
_cell_angle_gamma 90.00
_space_group_name_H-M_alt 'F d d d'
_space_group_IT_number 70
loop_
_space_group_symop_operation_xyz
'x,y,z'
'-x,-y,-z'
'-x+1/4,-y+1/4,z'
'x+1/4,y+1/4,-z'
'x,-y+1/4,-z+1/4'
'-x,y+1/4,z+1/4'
'-x+1/4,y,-z+1/4'
'x+1/4,-y,z+1/4'
'x,y+1/2,z+1/2'
'-x,-y+1/2,-z+1/2'
'-x+1/4,-y+3/4,z+1/2'
'x+1/4,y+3/4,-z+1/2'
'x,-y+3/4,-z+3/4'
'-x,y+3/4,z+3/4'
'-x+1/4,y+1/2,-z+3/4'
'x+1/4,-y+1/2,z+3/4'
'x+1/2,y,z+1/2'
'-x+1/2,-y,-z+1/2'
'-x+3/4,-y+1/4,z+1/2'
'x+3/4,y+1/4,-z+1/2'
'x+1/2,-y+1/4,-z+3/4'
'-x+1/2,y+1/4,z+3/4'
'-x+3/4,y,-z+3/4'
'x+3/4,-y,z+3/4'
'x+1/2,y+1/2,z'
'-x+1/2,-y+1/2,-z'
'-x+3/4,-y+3/4,z'
'x+3/4,y+3/4,-z'
'x+1/2,-y+3/4,-z+1/4'
'-x+1/2,y+3/4,z+1/4'
'-x+3/4,y+1/2,-z+1/4'
'x+3/4,-y+1/2,z+1/4'
loop_
_atom_site_label
_atom_site_type_symbol
_atom_site_fract_x
_atom_site_fract_y
_atom_site_fract_z
Dy1 Dy 0.106 0.375 0.375
Dy2 Dy 0.117 0.369 0.212
Sb1 Sb 0.125 0.125 0.377
Sb2 Sb 0.125 0.125 0.544
S1 S 0.125 0.125 0.042
```

## ii
First-principles (GGA-PBE) data for a geometry-optimized Dy3Sb2S structure, as listed in Alexandria.

Output
total magnetic moment	0.00	μB per cell

Geometry as CIF:
```
data_Dy3Sb2S
_cell_length_a 4.259
_cell_length_b 4.259
_cell_length_c 17.876
_cell_angle_alpha 90.00
_cell_angle_beta 90.00
_cell_angle_gamma 90.00
_space_group_name_H-M_alt 'I 4/m m m'
_space_group_IT_number 139
_space_group_name_Hall '-I 4 2'
loop_
_atom_site_label
_atom_site_type_symbol
_atom_site_fract_x
_atom_site_fract_y
_atom_site_fract_z
Dy1 Dy 0.000 0.000 0.000
Dy2 Dy 0.000 0.000 0.344
Sb1 Sb 0.000 0.000 0.169
S1 S 0.000 0.000 0.500
```

Name the most stable of them. i.

## i
First-principles (GGA-PBE) data for a geometry-optimized Dy3ScS4 structure, as listed in Alexandria.

Output
total magnetic moment	0.00	μB per cell

Geometry as CIF:
```
data_Dy3ScS4
_cell_length_a 7.763
_cell_length_b 10.914
_cell_length_c 3.829
_cell_angle_alpha 90.00
_cell_angle_beta 90.00
_cell_angle_gamma 90.00
_space_group_name_H-M_alt 'C m m m'
_space_group_IT_number 65
_space_group_name_Hall '-C 2 2'
loop_
_atom_site_label
_atom_site_type_symbol
_atom_site_fract_x
_atom_site_fract_y
_atom_site_fract_z
Dy1 Dy 0.000 0.000 0.000
Dy2 Dy 0.250 0.250 0.500
Sc1 Sc 0.000 0.500 0.000
S1 S 0.000 0.255 0.000
S2 S 0.239 0.500 0.500
```

## ii
First-principles (GGA-PBE) data for a geometry-optimized Dy3ScS4 structure, as listed in Alexandria.

Output
total magnetic moment	0.00	μB per cell

Geometry as CIF:
```
data_Dy3ScS4
_cell_length_a 5.464
_cell_length_b 5.464
_cell_length_c 5.464
_cell_angle_alpha 90.00
_cell_angle_beta 90.00
_cell_angle_gamma 90.00
_space_group_name_H-M_alt 'P m -3 m'
_space_group_IT_number 221
_space_group_name_Hall '-P 4 2 3'
loop_
_atom_site_label
_atom_site_type_symbol
_atom_site_fract_x
_atom_site_fract_y
_atom_site_fract_z
Dy1 Dy 0.000 0.000 0.500
Sc1 Sc 0.500 0.500 0.500
S1 S 0.000 0.000 0.000
S2 S 0.000 0.500 0.500
```

Name the most stable of them. i.

## i
First-principles (GGA-PBE) data for a geometry-optimized Dy4Se3S2 structure, as listed in Alexandria.

Output
total magnetic moment	0.00	μB per cell

Geometry as CIF:
```
data_Dy4Se3S2
_cell_length_a 13.652
_cell_length_b 3.810
_cell_length_c 8.604
_cell_angle_alpha 90.00
_cell_angle_beta 98.59
_cell_angle_gamma 90.00
_space_group_name_H-M_alt 'C 1 2/m 1'
_space_group_IT_number 12
loop_
_space_group_symop_operation_xyz
'x,y,z'
'-x,-y,-z'
'-x,y,-z'
'x,-y,z'
'x+1/2,y+1/2,z'
'-x+1/2,-y+1/2,-z'
'-x+1/2,y+1/2,-z'
'x+1/2,-y+1/2,z'
loop_
_atom_site_label
_atom_site_type_symbol
_atom_site_fract_x
_atom_site_fract_y
_atom_site_fract_z
Dy1 Dy 0.072 0.000 0.179
Dy2 Dy 0.156 0.500 0.610
Se1 Se 0.000 0.000 0.500
Se2 Se 0.095 0.500 0.908
S1 S 0.205 0.500 0.309
```

## ii
First-principles (GGA-PBE) data for a geometry-optimized Dy4Se3S2 structure, as listed in Alexandria.

Output
total magnetic moment	2.28	μB per cell

Geometry as CIF:
```
data_Dy4Se3S2
_cell_length_a 10.003
_cell_length_b 3.785
_cell_length_c 11.960
_cell_angle_alpha 90.00
_cell_angle_beta 97.93
_cell_angle_gamma 90.00
_space_group_name_H-M_alt 'C 1 2/m 1'
_space_group_IT_number 12
loop_
_space_group_symop_operation_xyz
'x,y,z'
'-x,-y,-z'
'-x,y,-z'
'x,-y,z'
'x+1/2,y+1/2,z'
'-x+1/2,-y+1/2,-z'
'-x+1/2,y+1/2,-z'
'x+1/2,-y+1/2,z'
loop_
_atom_site_label
_atom_site_type_symbol
_atom_site_fract_x
_atom_site_fract_y
_atom_site_fract_z
Dy1 Dy 0.084 0.000 0.169
Dy2 Dy 0.115 0.500 0.620
Se1 Se 0.000 0.500 0.000
Se2 Se 0.110 0.000 0.415
S1 S 0.197 0.000 0.780
```

Name the most stable of them. i.

## i
First-principles (GGA-PBE) data for a geometry-optimized DySeS structure, as listed in Alexandria.

Output
total magnetic moment	0.00	μB per cell

Geometry as CIF:
```
data_DySeS
_cell_length_a 3.961
_cell_length_b 3.961
_cell_length_c 16.406
_cell_angle_alpha 90.00
_cell_angle_beta 90.00
_cell_angle_gamma 90.00
_space_group_name_H-M_alt 'I 4/m m m'
_space_group_IT_number 139
_space_group_name_Hall '-I 4 2'
loop_
_atom_site_label
_atom_site_type_symbol
_atom_site_fract_x
_atom_site_fract_y
_atom_site_fract_z
Dy1 Dy 0.000 0.000 0.146
Se1 Se 0.000 0.500 0.000
S1 S 0.000 0.000 0.315
```

## ii
First-principles (GGA-PBE) data for a geometry-optimized DySeS structure, as listed in Alexandria.

Output
total magnetic moment	0.00	μB per cell

Geometry as CIF:
```
data_DySeS
_cell_length_a 4.038
_cell_length_b 5.433
_cell_length_c 13.148
_cell_angle_alpha 90.00
_cell_angle_beta 90.00
_cell_angle_gamma 90.00
_space_group_name_H-M_alt 'I m m m'
_space_group_IT_number 71
_space_group_name_Hall '-I 2 2'
loop_
_atom_site_label
_atom_site_type_symbol
_atom_site_fract_x
_atom_site_fract_y
_atom_site_fract_z
Dy1 Dy 0.000 0.000 0.155
Se1 Se 0.000 0.278 0.500
S1 S 0.000 0.500 0.212
```

Name the most stable of them. ii.

## i
First-principles (GGA-PBE) data for a geometry-optimized DySeS structure, as listed in Alexandria.

Output
total magnetic moment	0.00	μB per cell

Geometry as CIF:
```
data_DySeS
_cell_length_a 3.690
_cell_length_b 3.690
_cell_length_c 9.476
_cell_angle_alpha 90.00
_cell_angle_beta 90.00
_cell_angle_gamma 90.00
_space_group_name_H-M_alt 'I 4 m m'
_space_group_IT_number 107
_space_group_name_Hall 'I 4 -2'
loop_
_atom_site_label
_atom_site_type_symbol
_atom_site_fract_x
_atom_site_fract_y
_atom_site_fract_z
Dy1 Dy 0.000 0.000 0.000
Se1 Se 0.000 0.000 0.340
S1 S 0.000 0.000 0.626
```

## ii
First-principles (GGA-PBE) data for a geometry-optimized DySeS structure, as listed in Alexandria.

Output
total magnetic moment	0.00	μB per cell

Geometry as CIF:
```
data_DySeS
_cell_length_a 7.253
_cell_length_b 3.664
_cell_length_c 10.664
_cell_angle_alpha 90.00
_cell_angle_beta 90.00
_cell_angle_gamma 90.00
_space_group_name_H-M_alt 'P n m a'
_space_group_IT_number 62
loop_
_space_group_symop_operation_xyz
'x,y,z'
'-x,-y,-z'
'-x+1/2,-y,z+1/2'
'x+1/2,y,-z+1/2'
'x+1/2,-y+1/2,-z+1/2'
'-x+1/2,y+1/2,z+1/2'
'-x,y+1/2,-z'
'x,-y+1/2,z'
loop_
_atom_site_label
_atom_site_type_symbol
_atom_site_fract_x
_atom_site_fract_y
_atom_site_fract_z
Dy1 Dy 0.210 0.250 0.185
Se1 Se 0.154 0.750 0.972
S1 S 0.004 0.250 0.693
```

Name the most stable of them. ii.

## i
First-principles (GGA-PBE) data for a geometry-optimized Dy3Se3S structure, as listed in Alexandria.

Output
total magnetic moment	0.00	μB per cell

Geometry as CIF:
```
data_Dy3Se3S
_cell_length_a 8.519
_cell_length_b 11.834
_cell_length_c 7.389
_cell_angle_alpha 90.00
_cell_angle_beta 90.65
_cell_angle_gamma 90.00
_space_group_name_H-M_alt 'C 1 2/m 1'
_space_group_IT_number 12
loop_
_space_group_symop_operation_xyz
'x,y,z'
'-x,-y,-z'
'-x,y,-z'
'x,-y,z'
'x+1/2,y+1/2,z'
'-x+1/2,-y+1/2,-z'
'-x+1/2,y+1/2,-z'
'x+1/2,-y+1/2,z'
loop_
_atom_site_label
_atom_site_type_symbol
_atom_site_fract_x
_atom_site_fract_y
_atom_site_fract_z
Dy1 Dy 0.062 0.000 0.285
Dy2 Dy 0.130 0.349 0.201
Se1 Se 0.000 0.162 0.000
Se2 Se 0.000 0.231 0.500
Se3 Se 0.138 0.500 0.867
S1 S 0.235 0.000 0.596
```

## ii
First-principles (GGA-PBE) data for a geometry-optimized Dy3Se3S structure, as listed in Alexandria.

Output
total magnetic moment	0.00	μB per cell

Geometry as CIF:
```
data_Dy3Se3S
_cell_length_a 8.7786
_cell_length_b 8.7786
_cell_length_c 7.4845
_cell_angle_alpha 90.00
_cell_angle_beta 90.00
_cell_angle_gamma 120.00
_space_group_name_H-M_alt 'R 3 m'
_space_group_IT_number 160
_space_group_name_Hall 'R 3 -2"'
loop_
_atom_site_label
_atom_site_type_symbol
_atom_site_fract_x
_atom_site_fract_y
_atom_site_fract_z
Dy1 Dy 0.1709 0.3419 0.0000
Se1 Se 0.2013 0.4026 0.3989
S1 S 0.0000 0.0000 0.1534
```

Name the most stable of them. ii.